1.
Entry from the Alexandria database: a geometry-optimized CaNb2Mo structure (GGA-PBE).

Structure (CIF):
```
data_CaNb2Mo
_symmetry_space_group_name_H-M 'P 1'
_symmetry_Int_Tables_number 1
_cell_length_a 4.103
_cell_length_b 4.103
_cell_length_c 20.015
_cell_angle_alpha 90.00
_cell_angle_beta 90.00
_cell_angle_gamma 90.00
loop_
_symmetry_equiv_pos_as_xyz
'x,y,z'
loop_
_atom_site_label
_atom_site_fract_x
_atom_site_fract_y
_atom_site_fract_z
Ca1 0.000 0.000 0.000
Ca2 0.000 0.500 0.250
Ca3 0.500 0.000 0.750
Ca4 0.500 0.500 0.500
Nb1 0.225 0.250 0.625
Nb2 0.250 0.725 0.875
Nb3 0.250 0.775 0.375
Nb4 0.275 0.250 0.125
Nb5 0.725 0.750 0.125
Nb6 0.750 0.225 0.375
Nb7 0.750 0.275 0.875
Nb8 0.775 0.750 0.625
Mo1 0.000 0.000 0.500
Mo2 0.000 0.500 0.750
Mo3 0.500 0.000 0.250
Mo4 0.500 0.500 0.000
```

V (Å³/f.u.): 84.23
Space-group type: No. 122

---

2.
Entry from the Alexandria database: a geometry-optimized CaNbMo2 structure (GGA-PBE).

Structure (CIF):
```
data_CaNbMo2
_symmetry_space_group_name_H-M 'P 1'
_symmetry_Int_Tables_number 1
_cell_length_a 6.679
_cell_length_b 6.679
_cell_length_c 6.679
_cell_angle_alpha 90.00
_cell_angle_beta 90.00
_cell_angle_gamma 90.00
loop_
_symmetry_equiv_pos_as_xyz
'x,y,z'
loop_
_atom_site_label
_atom_site_fract_x
_atom_site_fract_y
_atom_site_fract_z
Ca1 0.000 0.000 0.000
Ca2 0.000 0.500 0.500
Ca3 0.500 0.000 0.500
Ca4 0.500 0.500 0.000
Nb1 0.000 0.000 0.500
Nb2 0.000 0.500 0.000
Nb3 0.500 0.000 0.000
Nb4 0.500 0.500 0.500
Mo1 0.250 0.250 0.250
Mo2 0.250 0.250 0.750
Mo3 0.250 0.750 0.250
Mo4 0.250 0.750 0.750
Mo5 0.750 0.250 0.250
Mo6 0.750 0.250 0.750
Mo7 0.750 0.750 0.250
Mo8 0.750 0.750 0.750
```

V (Å³/f.u.): 74.47
Space-group type: No. 225

---

3.
Entry from the Alexandria database: a geometry-optimized CaNbMo2 structure (GGA-PBE).

Structure (CIF):
```
data_CaNbMo2
_symmetry_space_group_name_H-M 'P 1'
_symmetry_Int_Tables_number 1
_cell_length_a 4.211
_cell_length_b 4.211
_cell_length_c 19.491
_cell_angle_alpha 90.00
_cell_angle_beta 90.00
_cell_angle_gamma 90.00
loop_
_symmetry_equiv_pos_as_xyz
'x,y,z'
loop_
_atom_site_label
_atom_site_fract_x
_atom_site_fract_y
_atom_site_fract_z
Ca1 0.000 0.000 0.000
Ca2 0.000 0.500 0.250
Ca3 0.500 0.000 0.750
Ca4 0.500 0.500 0.500
Nb1 0.000 0.000 0.500
Nb2 0.000 0.500 0.750
Nb3 0.500 0.000 0.250
Nb4 0.500 0.500 0.000
Mo1 0.168 0.250 0.625
Mo2 0.250 0.668 0.875
Mo3 0.250 0.832 0.375
Mo4 0.332 0.250 0.125
Mo5 0.668 0.750 0.125
Mo6 0.750 0.168 0.375
Mo7 0.750 0.332 0.875
Mo8 0.832 0.750 0.625
```

V (Å³/f.u.): 86.42
Space-group type: No. 122

---

4.
Entry from the Alexandria database: a geometry-optimized Ca3NbMo structure (GGA-PBE).

Structure (CIF):
```
data_Ca3NbMo
_symmetry_space_group_name_H-M 'P 1'
_symmetry_Int_Tables_number 1
_cell_length_a 5.313
_cell_length_b 5.313
_cell_length_c 5.313
_cell_angle_alpha 90.00
_cell_angle_beta 90.00
_cell_angle_gamma 90.00
loop_
_symmetry_equiv_pos_as_xyz
'x,y,z'
loop_
_atom_site_label
_atom_site_fract_x
_atom_site_fract_y
_atom_site_fract_z
Ca1 0.000 0.000 0.500
Ca2 0.000 0.500 0.000
Ca3 0.500 0.000 0.000
Nb1 0.500 0.500 0.500
Mo1 0.000 0.000 0.000
```

V (Å³/f.u.): 149.98
Space-group type: No. 221

---

Offset from the most stable computed form (computed, meV per atom): 534 0 491 0
Energy relative to the elements (computed, eV per formula unit): 4.5 2.8 4.8 8.0
Size of the total moment (computed, μB/f.u.): 0.0 0.0 0.0 0.0